DFT (PBE-GGA) results for a relaxed structure of Pr2Cd16Pb.

Output
- energy of formation (eV per formula unit) = -2.894
- DOS(E_F) (states/eV per atom) = 0.42
- magnetization (μB/f.u.) = 0.00

Cell: 7.726 7.726 7.726 Å, 83.70 83.70 83.70°
Element x y z (fractional)
Pr  0.000  0.000  0.000
Pr  0.333  0.333  0.333
Cd  0.022  0.022  0.488
Cd  0.022  0.488  0.022
Cd  0.150  0.676  0.676
Cd  0.311  0.311  0.827
Cd  0.311  0.827  0.311
Cd  0.355  0.663  0.976
Cd  0.355  0.976  0.663
Cd  0.488  0.022  0.022
Cd  0.663  0.355  0.976
Cd  0.663  0.976  0.355
Cd  0.676  0.150  0.676
Cd  0.676  0.676  0.150
Cd  0.769  0.769  0.769
Cd  0.827  0.311  0.311
Cd  0.976  0.355  0.663
Cd  0.976  0.663  0.355
Pb  0.564  0.564  0.564